Computed, not measured: a crystal of LuAs relaxed with PBEsol at the meta-GGA SCAN level of DFT.

Cell and atoms, written as extended XYZ:
```
2
Lattice="0.000 2.809 2.809 2.809 0.000 2.809 2.809 2.809 0.000" Properties=species:S:1:pos:R:3 pbc="T T T"
Lu 0.000 0.000 0.000
As 2.809 2.809 2.809
```

Calculated values
formation energy from the elements	-1.64	eV per atom
magnetic moment	0.000	μB per atom
ρ	9.36	g cm⁻³

=====

Computed, not measured: a crystal of LuNi4As2 relaxed with PBEsol at the meta-GGA SCAN level of DFT.

Cell and atoms, written as extended XYZ:
```
14
Lattice="7.073 0.000 0.000 0.000 7.073 0.000 0.000 0.000 3.722" Properties=species:S:1:pos:R:3 pbc="T T T"
Lu 0.000 0.000 0.000
Lu 3.537 3.537 1.861
Ni 0.631 2.444 1.861
Ni 1.092 4.168 0.000
Ni 2.444 0.631 1.861
Ni 2.905 5.981 0.000
Ni 4.168 1.092 0.000
Ni 4.629 6.442 1.861
Ni 5.981 2.905 0.000
Ni 6.442 4.629 1.861
As 1.539 5.534 1.861
As 1.997 1.997 0.000
As 5.076 5.076 0.000
As 5.534 1.539 1.861
```

Calculated values
formation energy from the elements	-0.66	eV per atom
magnetic moment	0.000	μB per atom
ρ	9.98	g cm⁻³

=====

Computed, not measured: a crystal of LuAsPt relaxed with PBEsol at the meta-GGA SCAN level of DFT.

Cell and atoms, written as extended XYZ:
```
6
Lattice="4.221 0.000 0.000 -2.110 3.655 0.000 0.000 0.000 7.353" Properties=species:S:1:pos:R:3 pbc="T T T"
Lu 0.000 0.000 0.000
Lu 0.000 0.000 3.677
As 0.000 2.437 1.838
As 2.110 1.218 5.515
Pt 0.000 2.437 5.515
Pt 2.110 1.218 1.838
```

Calculated values
formation energy from the elements	-1.35	eV per atom
magnetic moment	0.000	μB per atom
ρ	13.02	g cm⁻³

=====

Computed, not measured: a crystal of MgAs3 relaxed with PBEsol at the meta-GGA SCAN level of DFT.

Cell and atoms, written as extended XYZ:
```
4
Lattice="-1.944 1.944 5.002 1.944 -1.944 5.002 1.944 1.944 -5.002" Properties=species:S:1:pos:R:3 pbc="T T T"
Mg 0.000 0.000 0.000
As 1.944 0.000 2.501
As 0.000 0.000 5.002
As 0.000 1.944 2.501
```

Calculated values
formation energy from the elements	0.10	eV per atom
magnetic moment	0.000	μB per atom
ρ	5.47	g cm⁻³

=====

Computed, not measured: a crystal of MgAs2 relaxed with PBEsol at the meta-GGA SCAN level of DFT.

Cell and atoms, written as extended XYZ:
```
3
Lattice="3.918 0.000 0.000 0.000 3.918 0.000 0.000 0.000 4.075" Properties=species:S:1:pos:R:3 pbc="T T T"
Mg 0.000 0.000 0.000
As 0.000 1.959 2.038
As 1.959 0.000 2.038
```

Calculated values
formation energy from the elements	-0.24	eV per atom
magnetic moment	0.000	μB per atom
ρ	4.62	g cm⁻³

=====

Computed, not measured: a crystal of Mg3As2 relaxed with PBEsol at the meta-GGA SCAN level of DFT.

Cell and atoms, written as extended XYZ:
```
40
Lattice="-6.181 6.181 6.181 6.181 -6.181 6.181 6.181 6.181 -6.181" Properties=species:S:1:pos:R:3 pbc="T T T"
Mg 7.474 1.685 -1.598
Mg 1.685 1.598 -1.293
Mg 1.598 -1.293 1.685
Mg 4.888 4.496 -1.598
Mg 4.496 1.598 1.293
Mg 7.780 1.293 1.685
Mg 7.780 -1.293 4.496
Mg -1.293 1.685 1.598
Mg 4.496 -1.598 4.888
Mg 1.598 1.293 4.496
Mg 1.685 -1.598 7.474
Mg 1.293 4.496 1.598
Mg 4.888 1.685 4.583
Mg 4.496 7.780 -1.293
Mg 4.583 4.888 1.685
Mg 1.685 7.780 1.293
Mg 7.474 4.496 4.583
Mg -1.598 7.474 1.685
Mg -1.598 4.888 4.496
Mg 1.685 4.583 4.888
Mg 1.293 1.685 7.780
Mg 4.583 7.474 4.496
Mg 4.496 4.583 7.474
Mg -1.293 4.496 7.780
As 0.000 0.000 0.000
As 6.181 0.000 0.000
As 6.181 -3.091 3.371
As 9.272 2.810 0.000
As 3.371 6.181 -3.091
As 3.371 0.000 3.091
As 3.091 3.371 0.000
As 6.181 3.091 2.810
As 0.000 6.181 0.000
As 0.000 0.000 6.181
As 0.000 3.091 3.371
As 3.091 2.810 6.181
As 2.810 6.181 3.091
As 2.810 0.000 9.272
As -3.091 3.371 6.181
As 0.000 9.272 2.810
```

Calculated values
relative energy among the computed polymorphs	0.0000	eV/atom
formation energy from the elements	-0.75	eV per atom
magnetic moment	0.000	μB per atom
ρ	3.13	g cm⁻³

=====

Computed, not measured: a crystal of MgAs3 relaxed with PBEsol at the meta-GGA SCAN level of DFT.

Cell and atoms, written as extended XYZ:
```
4
Lattice="2.849 0.000 0.000 0.000 3.699 0.000 -0.008 0.000 7.347" Properties=species:S:1:pos:R:3 pbc="T T T"
Mg 0.000 0.000 0.000
As 1.421 0.000 3.674
As 1.422 1.850 1.723
As 1.420 1.850 5.624
```

Calculated values
formation energy from the elements	-0.06	eV per atom
magnetic moment	0.000	μB per atom
ρ	5.34	g cm⁻³

=====

Computed, not measured: a crystal of MgAs2 relaxed with PBEsol at the meta-GGA SCAN level of DFT.

Cell and atoms, written as extended XYZ:
```
6
Lattice="4.297 -1.766 0.000 4.297 1.766 0.000 -0.020 0.000 8.955" Properties=species:S:1:pos:R:3 pbc="T T T"
Mg 1.578 0.000 2.430
Mg 6.995 0.000 6.525
As 1.372 0.000 8.512
As 4.075 0.000 3.296
As 4.498 0.000 5.659
As 7.201 0.000 0.443
```

Calculated values
formation energy from the elements	-0.21	eV per atom
magnetic moment	0.000	μB per atom
ρ	4.26	g cm⁻³

=====

Computed, not measured: a crystal of MgAs3 relaxed with PBEsol at the meta-GGA SCAN level of DFT.

Cell and atoms, written as extended XYZ:
```
4
Lattice="3.310 0.000 0.000 0.000 3.310 0.000 0.000 0.000 6.763" Properties=species:S:1:pos:R:3 pbc="T T T"
Mg 0.000 0.000 0.000
As 0.000 0.000 3.382
As 1.655 1.655 1.709
As 1.655 1.655 5.055
```

Calculated values
formation energy from the elements	0.16	eV per atom
magnetic moment	0.000	μB per atom
ρ	5.58	g cm⁻³

=====

Computed, not measured: a crystal of Mg3As2 relaxed with PBEsol at the meta-GGA SCAN level of DFT.

Cell and atoms, written as extended XYZ:
```
5
Lattice="4.263 0.000 0.000 -2.132 3.692 0.000 0.000 0.000 6.691" Properties=species:S:1:pos:R:3 pbc="T T T"
Mg 0.000 0.000 0.000
Mg 0.000 2.461 2.397
Mg 2.132 1.231 4.294
As 0.000 2.461 5.159
As 2.132 1.231 1.531
```

Calculated values
relative energy among the computed polymorphs	0.0319	eV/atom
formation energy from the elements	-0.72	eV per atom
magnetic moment	0.000	μB per atom
ρ	3.51	g cm⁻³

=====

Computed, not measured: a crystal of MgAs3 relaxed with PBEsol at the meta-GGA SCAN level of DFT.

Cell and atoms, written as extended XYZ:
```
8
Lattice="5.849 0.000 0.000 -2.924 5.065 0.000 0.000 0.000 5.158" Properties=species:S:1:pos:R:3 pbc="T T T"
Mg 0.000 3.377 1.289
Mg 2.924 1.688 3.868
As 0.000 1.827 3.868
As -1.343 4.152 3.868
As 1.582 0.913 1.289
As 1.343 4.152 3.868
As 4.267 0.913 1.289
As 2.924 3.239 1.289
```

Calculated values
formation energy from the elements	0.08	eV per atom
magnetic moment	0.000	μB per atom
ρ	5.41	g cm⁻³

=====

Computed, not measured: a crystal of MgMnAs2 relaxed with PBEsol at the meta-GGA SCAN level of DFT.

Cell and atoms, written as extended XYZ:
```
4
Lattice="-2.429 2.429 2.820 2.429 -2.429 2.820 2.429 2.429 -2.820" Properties=species:S:1:pos:R:3 pbc="T T T"
Mg 0.000 0.000 0.000
Mn 0.000 0.000 2.820
As 2.429 0.000 1.410
As 0.000 2.429 1.410
```

Calculated values
formation energy from the elements	-0.19	eV per atom
magnetic moment	0.966	μB per atom
ρ	5.72	g cm⁻³

=====

Computed, not measured: a crystal of MgMnAs2 relaxed with PBEsol at the meta-GGA SCAN level of DFT.

Cell and atoms, written as extended XYZ:
```
4
Lattice="-1.538 1.753 6.306 1.538 -1.753 6.306 1.538 1.753 -6.306" Properties=species:S:1:pos:R:3 pbc="T T T"
Mg 0.000 0.000 0.000
Mn 1.538 0.000 2.996
As 0.000 0.000 4.838
As 0.000 1.753 2.121
```

Calculated values
formation energy from the elements	-0.30	eV per atom
magnetic moment	0.732	μB per atom
ρ	5.59	g cm⁻³

=====

Computed, not measured: a crystal of MgMnAs2 relaxed with PBEsol at the meta-GGA SCAN level of DFT.

Cell and atoms, written as extended XYZ:
```
4
Lattice="3.207 0.000 0.000 0.000 4.116 0.000 0.000 0.000 5.417" Properties=species:S:1:pos:R:3 pbc="T T T"
Mg 0.000 0.000 0.000
Mn 1.604 2.058 2.510
As 0.000 0.000 2.672
As 1.604 2.058 5.209
```

Calculated values
formation energy from the elements	-0.39	eV per atom
magnetic moment	0.948	μB per atom
ρ	5.32	g cm⁻³

=====

Computed, not measured: a crystal of MgMnAs2 relaxed with PBEsol at the meta-GGA SCAN level of DFT.

Cell and atoms, written as extended XYZ:
```
4
Lattice="-1.885 1.885 4.754 1.885 -1.885 4.754 1.885 1.885 -4.754" Properties=species:S:1:pos:R:3 pbc="T T T"
Mg 0.000 0.000 0.000
Mn 0.000 1.885 2.377
As 1.885 0.000 2.377
As 0.000 0.000 4.754
```

Calculated values
formation energy from the elements	-0.26	eV per atom
magnetic moment	0.969	μB per atom
ρ	5.63	g cm⁻³

=====

Computed, not measured: a crystal of Mg2MnAsN relaxed with PBEsol at the meta-GGA SCAN level of DFT.

Cell and atoms, written as extended XYZ:
```
5
Lattice="4.992 0.000 0.000 0.000 4.992 0.000 0.000 0.000 4.308" Properties=species:S:1:pos:R:3 pbc="T T T"
Mg 0.000 2.496 0.000
Mg 2.496 0.000 0.000
Mn 0.000 0.000 0.000
As 0.000 0.000 2.154
N 2.496 2.496 2.154
```

Calculated values
magnetic moment	0.909	μB per atom
formation energy from raw total energies	0.96	eV/atom
ρ	2.98	g cm⁻³

=====

Computed, not measured: a crystal of MgMnAsSe2 relaxed with PBEsol at the meta-GGA SCAN level of DFT.

Cell and atoms, written as extended XYZ:
```
5
Lattice="4.954 0.000 0.000 0.000 4.954 0.000 0.000 0.000 4.842" Properties=species:S:1:pos:R:3 pbc="T T T"
Mg 0.000 0.000 0.000
Mn 2.477 2.477 2.421
As 0.000 0.000 2.421
Se 0.000 2.477 0.000
Se 2.477 0.000 0.000
```

Calculated values
magnetic moment	0.846	μB per atom
formation energy from raw total energies	0.31	eV/atom
ρ	4.36	g cm⁻³

=====

Computed, not measured: a crystal of MgMoAs2 relaxed with PBEsol at the meta-GGA SCAN level of DFT.

Cell and atoms, written as extended XYZ:
```
4
Lattice="4.116 -1.680 0.000 4.116 1.680 0.000 -1.678 0.000 5.005" Properties=species:S:1:pos:R:3 pbc="T T T"
Mg 0.000 0.000 0.000
Mo 3.277 0.000 2.502
As 0.806 0.000 3.521
As 5.748 0.000 1.484
```

Calculated values
formation energy from the elements	-0.07	eV per atom
magnetic moment	0.000	μB per atom
ρ	6.48	g cm⁻³

=====

Computed, not measured: a crystal of MgMoAs2 relaxed with PBEsol at the meta-GGA SCAN level of DFT.

Cell and atoms, written as extended XYZ:
```
4
Lattice="3.578 0.000 0.000 0.000 1.621 6.597 0.000 -1.621 6.597" Properties=species:S:1:pos:R:3 pbc="T T T"
Mg 0.000 0.000 0.000
Mo 1.789 0.000 2.987
As 0.000 0.000 10.542
As 1.789 0.000 7.685
```

Calculated values
formation energy from the elements	-0.20	eV per atom
magnetic moment	0.000	μB per atom
ρ	5.86	g cm⁻³

=====

Computed, not measured: a crystal of MgMoAsSe2 relaxed with PBEsol at the meta-GGA SCAN level of DFT.

Cell and atoms, written as extended XYZ:
```
5
Lattice="4.868 0.000 0.000 0.000 4.868 0.000 0.000 0.000 4.795" Properties=species:S:1:pos:R:3 pbc="T T T"
Mg 0.000 0.000 0.000
Mo 2.434 2.434 2.397
As 0.000 0.000 2.397
Se 0.000 2.434 0.000
Se 2.434 0.000 0.000
```

Calculated values
magnetic moment	0.576	μB per atom
formation energy from raw total energies	0.76	eV/atom
ρ	5.16	g cm⁻³

=====

Computed, not measured: a crystal of NaMgAs3 relaxed with PBEsol at the meta-GGA SCAN level of DFT.

Cell and atoms, written as extended XYZ:
```
5
Lattice="4.986 0.000 0.000 0.000 4.986 0.000 0.000 0.000 4.986" Properties=species:S:1:pos:R:3 pbc="T T T"
Na 0.000 0.000 0.000
Mg 2.493 2.493 2.493
As 0.000 2.493 2.493
As 2.493 0.000 2.493
As 2.493 2.493 0.000
```

Calculated values
formation energy from the elements	0.32	eV per atom
magnetic moment	0.000	μB per atom
ρ	3.64	g cm⁻³

=====

Computed, not measured: a crystal of NaMgAs relaxed with PBEsol at the meta-GGA SCAN level of DFT.

Cell and atoms, written as extended XYZ:
```
6
Lattice="4.379 0.000 0.000 0.000 4.379 0.000 0.000 0.000 7.134" Properties=species:S:1:pos:R:3 pbc="T T T"
Na 1.095 1.095 0.953
Na 3.284 3.284 6.181
Mg 1.095 3.284 3.567
Mg 3.284 1.095 3.567
As 1.095 1.095 5.124
As 3.284 3.284 2.010
```

Calculated values
formation energy from the elements	-0.75	eV per atom
magnetic moment	0.000	μB per atom
ρ	2.97	g cm⁻³

=====

Computed, not measured: a crystal of NaMgAsSe2 relaxed with PBEsol at the meta-GGA SCAN level of DFT.

Cell and atoms, written as extended XYZ:
```
5
Lattice="5.062 0.000 0.000 0.000 5.062 0.000 0.000 0.000 4.850" Properties=species:S:1:pos:R:3 pbc="T T T"
Na 0.000 0.000 0.000
Mg 2.531 2.531 2.425
As 0.000 0.000 2.425
Se 0.000 2.531 0.000
Se 2.531 0.000 0.000
```

Calculated values
magnetic moment	0.000	μB per atom
formation energy from raw total energies	0.51	eV/atom
ρ	3.74	g cm⁻³

=====

Computed, not measured: a crystal of Mg2NbAs2 relaxed with PBEsol at the meta-GGA SCAN level of DFT.

Cell and atoms, written as extended XYZ:
```
5
Lattice="-1.844 1.844 6.580 1.844 -1.844 6.580 1.844 1.844 -6.580" Properties=species:S:1:pos:R:3 pbc="T T T"
Mg 1.844 0.000 3.290
Mg 0.000 1.844 3.290
Nb 0.000 0.000 0.000
As 0.000 0.000 5.244
As 0.000 0.000 7.916
```

Calculated values
formation energy from the elements	0.04	eV per atom
magnetic moment	0.000	μB per atom
ρ	5.40	g cm⁻³

=====

Computed, not measured: a crystal of MgNbAs2Se relaxed with PBEsol at the meta-GGA SCAN level of DFT.

Cell and atoms, written as extended XYZ:
```
5
Lattice="4.767 0.000 0.000 0.000 4.767 0.000 0.000 0.000 4.874" Properties=species:S:1:pos:R:3 pbc="T T T"
Mg 0.000 0.000 0.000
Nb 2.383 2.383 2.437
As 0.000 2.383 0.000
As 2.383 0.000 0.000
Se 0.000 0.000 2.437
```

Calculated values
relative energy among the computed polymorphs	0.6753	eV/atom
magnetic moment	0.436	μB per atom
formation energy from raw total energies	0.76	eV/atom
ρ	5.19	g cm⁻³

=====

Computed, not measured: a crystal of MgNbAs2Se relaxed with PBEsol at the meta-GGA SCAN level of DFT.

Cell and atoms, written as extended XYZ:
```
5
Lattice="4.962 0.000 0.000 0.000 4.962 0.000 0.000 0.000 5.017" Properties=species:S:1:pos:R:3 pbc="T T T"
Mg 0.000 0.000 0.000
Nb 2.481 2.481 2.509
As 0.000 2.481 2.509
As 2.481 0.000 2.509
Se 2.481 2.481 0.000
```

Calculated values
relative energy among the computed polymorphs	0.0000	eV/atom
magnetic moment	0.000	μB per atom
formation energy from raw total energies	0.08	eV/atom
ρ	4.65	g cm⁻³

=====

Computed, not measured: a crystal of MgNiAs3 relaxed with PBEsol at the meta-GGA SCAN level of DFT.

Cell and atoms, written as extended XYZ:
```
5
Lattice="4.786 0.000 0.000 0.000 4.786 0.000 0.000 0.000 4.786" Properties=species:S:1:pos:R:3 pbc="T T T"
Mg 0.000 0.000 0.000
Ni 2.393 2.393 2.393
As 0.000 0.000 2.393
As 0.000 2.393 0.000
As 2.393 0.000 0.000
```

Calculated values
formation energy from the elements	1.18	eV per atom
magnetic moment	0.191	μB per atom
ρ	4.66	g cm⁻³